Entry 1:
# Ca3Ti2O7, optimized geometry, DFT PBEsol
# **DOS(E_F)**: 0.00 states/eV/cell
# **ΔE_f (raw)**: -37.9 eV per formula unit
# **Magnetization**: 0.00 μB per cell
data_Ca3Ti2O7
_symmetry_space_group_name_H-M 'P 1'
_symmetry_Int_Tables_number 1
_cell_length_a 10.0202
_cell_length_b 10.0202
_cell_length_c 5.4493
_cell_angle_alpha 90.00
_cell_angle_beta 90.00
_cell_angle_gamma 31.22
loop_
_symmetry_equiv_pos_as_xyz
'x,y,z'
loop_
_atom_site_label
_atom_site_type_symbol
_atom_site_fract_x
_atom_site_fract_y
_atom_site_fract_z
Ca1 Ca 0.0541 0.5708 0.5813
Ca2 Ca 0.2456 0.7544 0.5000
Ca3 Ca 0.4292 0.9459 0.5813
Ca4 Ca 0.5708 0.0541 0.0813
Ca5 Ca 0.7544 0.2456 0.0000
Ca6 Ca 0.9459 0.4292 0.0813
Ti1 Ti 0.1498 0.6505 0.0468
Ti2 Ti 0.3495 0.8502 0.0468
Ti3 Ti 0.6505 0.1498 0.5468
Ti4 Ti 0.8502 0.3495 0.5468
O1 O 0.0145 0.3813 0.5172
O2 O 0.0439 0.1237 0.2465
O3 O 0.1237 0.0439 0.7465
O4 O 0.3234 0.6766 0.0553
O5 O 0.3468 0.4279 0.3277
O6 O 0.3813 0.0145 0.0172
O7 O 0.4279 0.3468 0.8277
O8 O 0.5721 0.6532 0.3277
O9 O 0.6187 0.9855 0.5172
O10 O 0.6532 0.5721 0.8277
O11 O 0.6766 0.3234 0.5553
O12 O 0.8763 0.9561 0.2465
O13 O 0.9561 0.8763 0.7465
O14 O 0.9855 0.6187 0.0172

---

Entry 2:
# Tl2PbAu, optimized geometry, DFT PBEsol
# **DOS(E_F)**: 1.95 states/eV/cell
# **Magnetization**: 0.00 μB per cell
# **DFT formation energy**: 0.09 eV per atom
data_Tl2PbAu
_symmetry_space_group_name_H-M 'P 1'
_symmetry_Int_Tables_number 1
_cell_length_a 5.2116
_cell_length_b 5.2116
_cell_length_c 5.2116
_cell_angle_alpha 60.00
_cell_angle_beta 60.00
_cell_angle_gamma 60.00
loop_
_symmetry_equiv_pos_as_xyz
'x,y,z'
loop_
_atom_site_label
_atom_site_type_symbol
_atom_site_fract_x
_atom_site_fract_y
_atom_site_fract_z
Tl1 Tl 0.0000 0.0000 0.0000
Tl2 Tl 0.2500 0.2500 0.2500
Pb1 Pb 0.5000 0.5000 0.5000
Au1 Au 0.7500 0.7500 0.7500

---

Entry 3:
# BeInB2O, optimized geometry, DFT PBEsol
# **DOS(E_F)**: 1.48 states/eV/cell
# **ΔE_f (raw)**: 11.1 eV per formula unit
# **Magnetization**: 0.00 μB per cell
data_BeInB2O
_symmetry_space_group_name_H-M 'P 1'
_symmetry_Int_Tables_number 1
_cell_length_a 4.2607
_cell_length_b 4.2607
_cell_length_c 4.5666
_cell_angle_alpha 90.00
_cell_angle_beta 90.00
_cell_angle_gamma 90.00
loop_
_symmetry_equiv_pos_as_xyz
'x,y,z'
loop_
_atom_site_label
_atom_site_type_symbol
_atom_site_fract_x
_atom_site_fract_y
_atom_site_fract_z
Be1 Be 0.0000 0.0000 0.0000
In1 In 0.0000 0.0000 0.5000
B1 B 0.0000 0.5000 0.5000
B2 B 0.5000 0.0000 0.5000
O1 O 0.5000 0.5000 0.0000

---

Entry 4:
# Mg30ZnCuO32, optimized geometry, DFT PBEsol
# **DOS(E_F)**: 6.30 states/eV/cell
# **ΔE_f (raw)**: -168.0 eV per formula unit
# **Magnetization**: 1.00 μB per cell
data_Mg30ZnCuO32
_symmetry_space_group_name_H-M 'P 1'
_symmetry_Int_Tables_number 1
_cell_length_a 8.4421
_cell_length_b 8.4421
_cell_length_c 8.4312
_cell_angle_alpha 90.00
_cell_angle_beta 90.00
_cell_angle_gamma 90.00
loop_
_symmetry_equiv_pos_as_xyz
'x,y,z'
loop_
_atom_site_label
_atom_site_type_symbol
_atom_site_fract_x
_atom_site_fract_y
_atom_site_fract_z
Mg1 Mg 0.0000 0.0000 0.0000
Mg2 Mg 0.0000 0.0000 0.5000
Mg3 Mg 0.0000 0.2502 0.2502
Mg4 Mg 0.0000 0.2502 0.7498
Mg5 Mg 0.0000 0.5000 0.0000
Mg6 Mg 0.0000 0.5000 0.5000
Mg7 Mg 0.0000 0.7498 0.2502
Mg8 Mg 0.0000 0.7498 0.7498
Mg9 Mg 0.2502 0.0000 0.2502
Mg10 Mg 0.2502 0.0000 0.7498
Mg11 Mg 0.2503 0.2503 0.0000
Mg12 Mg 0.2503 0.7497 0.0000
Mg13 Mg 0.2509 0.2509 0.5000
Mg14 Mg 0.2507 0.5000 0.2510
Mg15 Mg 0.2507 0.5000 0.7490
Mg16 Mg 0.2509 0.7491 0.5000
Mg17 Mg 0.5000 0.0000 0.0000
Mg18 Mg 0.5000 0.0000 0.5000
Mg19 Mg 0.5000 0.2507 0.2510
Mg20 Mg 0.5000 0.2507 0.7490
Mg21 Mg 0.5000 0.7493 0.2510
Mg22 Mg 0.5000 0.7493 0.7490
Mg23 Mg 0.7491 0.2509 0.5000
Mg24 Mg 0.7493 0.5000 0.2510
Mg25 Mg 0.7493 0.5000 0.7490
Mg26 Mg 0.7491 0.7491 0.5000
Mg27 Mg 0.7498 0.0000 0.2502
Mg28 Mg 0.7498 0.0000 0.7498
Mg29 Mg 0.7497 0.2503 0.0000
Mg30 Mg 0.7497 0.7497 0.0000
Zn1 Zn 0.5000 0.5000 0.0000
Cu1 Cu 0.5000 0.5000 0.5000
O1 O 0.0000 0.0000 0.2499
O2 O 0.0000 0.0000 0.7501
O3 O 0.0000 0.2501 0.0000
O4 O 0.0000 0.2499 0.5000
O5 O 0.0000 0.5000 0.2497
O6 O 0.0000 0.5000 0.7503
O7 O 0.0000 0.7499 0.0000
O8 O 0.0000 0.7501 0.5000
O9 O 0.2462 0.5000 0.5000
O10 O 0.2482 0.5000 0.0000
O11 O 0.2501 0.0000 0.0000
O12 O 0.2499 0.0000 0.5000
O13 O 0.2505 0.2505 0.2500
O14 O 0.2505 0.2505 0.7500
O15 O 0.2505 0.7495 0.2500
O16 O 0.2505 0.7495 0.7500
O17 O 0.5000 0.0000 0.2497
O18 O 0.5000 0.0000 0.7503
O19 O 0.5000 0.2462 0.5000
O20 O 0.5000 0.2482 0.0000
O21 O 0.5000 0.5000 0.2519
O22 O 0.5000 0.5000 0.7481
O23 O 0.5000 0.7518 0.0000
O24 O 0.5000 0.7538 0.5000
O25 O 0.7495 0.2505 0.2500
O26 O 0.7495 0.2505 0.7500
O27 O 0.7495 0.7495 0.2500
O28 O 0.7495 0.7495 0.7500
O29 O 0.7499 0.0000 0.0000
O30 O 0.7501 0.0000 0.5000
O31 O 0.7518 0.5000 0.0000
O32 O 0.7538 0.5000 0.5000

---

Entry 5:
# CaLa2Co, optimized geometry, DFT PBEsol
# **DOS(E_F)**: 4.65 states/eV/cell
# **Magnetization**: 0.01 μB per cell
# **Energy relative to the lowest polymorph listed for this composition**: 450.1 meV/atom
# **DFT formation energy**: 0.42 eV per atom
data_CaLa2Co
_symmetry_space_group_name_H-M 'P 1'
_symmetry_Int_Tables_number 1
_cell_length_a 5.1854
_cell_length_b 5.1854
_cell_length_c 5.1854
_cell_angle_alpha 60.00
_cell_angle_beta 60.00
_cell_angle_gamma 60.00
loop_
_symmetry_equiv_pos_as_xyz
'x,y,z'
loop_
_atom_site_label
_atom_site_type_symbol
_atom_site_fract_x
_atom_site_fract_y
_atom_site_fract_z
Ca1 Ca 0.0000 0.0000 0.0000
La1 La 0.5000 0.5000 0.5000
La2 La 0.7500 0.7500 0.7500
Co1 Co 0.2500 0.2500 0.2500

---

Entry 6:
# Zr5Rh3, optimized geometry, DFT PBEsol
# **DOS(E_F)**: 6.43 states/eV/cell
# **Magnetization**: 0.00 μB per cell
# **Energy relative to the lowest polymorph listed for this composition**: 69.6 meV/atom
# **DFT formation energy**: -0.54 eV per atom
data_Zr5Rh3
_symmetry_space_group_name_H-M 'P 1'
_symmetry_Int_Tables_number 1
_cell_length_a 5.6551
_cell_length_b 5.6551
_cell_length_c 4.6857
_cell_angle_alpha 90.00
_cell_angle_beta 90.00
_cell_angle_gamma 107.54
loop_
_symmetry_equiv_pos_as_xyz
'x,y,z'
loop_
_atom_site_label
_atom_site_type_symbol
_atom_site_fract_x
_atom_site_fract_y
_atom_site_fract_z
Zr1 Zr 0.0000 0.0000 0.0000
Zr2 Zr 0.0000 0.5000 0.0000
Zr3 Zr 0.2590 0.2590 0.5000
Zr4 Zr 0.5000 0.0000 0.0000
Zr5 Zr 0.7410 0.7410 0.5000
Rh1 Rh 0.2467 0.7533 0.5000
Rh2 Rh 0.5000 0.5000 0.0000
Rh3 Rh 0.7533 0.2467 0.5000

---

Entry 7:
# Zn2BIr2, optimized geometry, DFT PBEsol
# **DOS(E_F)**: 4.74 states/eV/cell
# **Magnetization**: 0.00 μB per cell
# **Energy relative to the lowest polymorph listed for this composition**: 57.3 meV/atom
# **DFT formation energy**: -0.24 eV per atom
data_Zn2BIr2
_symmetry_space_group_name_H-M 'P 1'
_symmetry_Int_Tables_number 1
_cell_length_a 5.6572
_cell_length_b 5.6572
_cell_length_c 4.1318
_cell_angle_alpha 90.00
_cell_angle_beta 90.00
_cell_angle_gamma 90.00
loop_
_symmetry_equiv_pos_as_xyz
'x,y,z'
loop_
_atom_site_label
_atom_site_type_symbol
_atom_site_fract_x
_atom_site_fract_y
_atom_site_fract_z
Zn1 Zn 0.1550 0.3450 0.0000
Zn2 Zn 0.3450 0.8450 0.0000
Zn3 Zn 0.6550 0.1550 0.0000
Zn4 Zn 0.8450 0.6550 0.0000
B1 B 0.0000 0.0000 0.5000
B2 B 0.5000 0.5000 0.5000
Ir1 Ir 0.1639 0.6639 0.5000
Ir2 Ir 0.3361 0.1639 0.5000
Ir3 Ir 0.6639 0.8361 0.5000
Ir4 Ir 0.8361 0.3361 0.5000

---

Entry 8:
# SrNi3Sb, optimized geometry, DFT PBEsol
# **DOS(E_F)**: 6.16 states/eV/cell
# **ΔE_f (raw)**: 1.2 eV per formula unit
# **Magnetization**: 0.00 μB per cell
data_SrNi3Sb
_symmetry_space_group_name_H-M 'P 1'
_symmetry_Int_Tables_number 1
_cell_length_a 4.6900
_cell_length_b 4.6900
_cell_length_c 4.6900
_cell_angle_alpha 90.00
_cell_angle_beta 90.00
_cell_angle_gamma 90.00
loop_
_symmetry_equiv_pos_as_xyz
'x,y,z'
loop_
_atom_site_label
_atom_site_type_symbol
_atom_site_fract_x
_atom_site_fract_y
_atom_site_fract_z
Sr1 Sr 0.0000 0.0000 0.0000
Ni1 Ni 0.0000 0.5000 0.5000
Ni2 Ni 0.5000 0.0000 0.5000
Ni3 Ni 0.5000 0.5000 0.0000
Sb1 Sb 0.5000 0.5000 0.5000

---

Entry 9:
# SrGaSb2I, optimized geometry, DFT PBEsol
# **DOS(E_F)**: 4.69 states/eV/cell
# **ΔE_f (raw)**: -1.2 eV per formula unit
# **Magnetization**: 0.00 μB per cell
data_SrGaSb2I
_symmetry_space_group_name_H-M 'P 1'
_symmetry_Int_Tables_number 1
_cell_length_a 5.2128
_cell_length_b 5.2128
_cell_length_c 6.0299
_cell_angle_alpha 90.00
_cell_angle_beta 90.00
_cell_angle_gamma 90.00
loop_
_symmetry_equiv_pos_as_xyz
'x,y,z'
loop_
_atom_site_label
_atom_site_type_symbol
_atom_site_fract_x
_atom_site_fract_y
_atom_site_fract_z
Sr1 Sr 0.0000 0.0000 0.0000
Ga1 Ga 0.5000 0.5000 0.5000
Sb1 Sb 0.0000 0.5000 0.5000
Sb2 Sb 0.5000 0.0000 0.5000
I1 I 0.5000 0.5000 0.0000

---

Entry 10:
# VCu12SnAs2S16, optimized geometry, DFT PBEsol
# **DOS(E_F)**: 13.60 states/eV/cell
# **ΔE_f (raw)**: -10.4 eV per formula unit
# **Magnetization**: 0.00 μB per cell
data_VCu12SnAs2S16
_symmetry_space_group_name_H-M 'P 1'
_symmetry_Int_Tables_number 1
_cell_length_a 9.0467
_cell_length_b 9.0467
_cell_length_c 9.0467
_cell_angle_alpha 109.60
_cell_angle_beta 109.60
_cell_angle_gamma 109.21
loop_
_symmetry_equiv_pos_as_xyz
'x,y,z'
loop_
_atom_site_label
_atom_site_type_symbol
_atom_site_fract_x
_atom_site_fract_y
_atom_site_fract_z
V1 V 0.0000 0.0000 0.0000
Cu1 Cu 0.0024 0.7532 0.2566
Cu2 Cu 0.2446 0.2446 0.4925
Cu3 Cu 0.2468 0.5034 0.2492
Cu4 Cu 0.2479 0.7554 0.0000
Cu5 Cu 0.2542 0.9976 0.7508
Cu6 Cu 0.4966 0.7458 0.7434
Cu7 Cu 0.5034 0.2468 0.2492
Cu8 Cu 0.7458 0.4966 0.7434
Cu9 Cu 0.7521 0.7521 0.5075
Cu10 Cu 0.7532 0.0024 0.2566
Cu11 Cu 0.7554 0.2479 0.0000
Cu12 Cu 0.9976 0.2542 0.7508
Sn1 Sn 0.5000 0.5000 0.0000
As1 As 0.0000 0.5000 0.5000
As2 As 0.5000 0.0000 0.5000
S1 S 0.9996 0.5036 0.7542
S2 S 0.0004 0.7546 0.5040
S3 S 0.0041 0.2436 0.0000
S4 S 0.2306 0.2306 0.7310
S5 S 0.2436 0.0041 0.0000
S6 S 0.2454 0.7494 0.2458
S7 S 0.2506 0.4964 0.4960
S8 S 0.4964 0.2506 0.4960
S9 S 0.4996 0.4996 0.2690
S10 S 0.5004 0.7694 0.0000
S11 S 0.5036 0.9996 0.7542
S12 S 0.7494 0.2454 0.2458
S13 S 0.7546 0.0004 0.5040
S14 S 0.7564 0.7564 0.7605
S15 S 0.7694 0.5004 0.0000
S16 S 0.9959 0.9959 0.2395

---

Entry 11:
# TlNiF3, optimized geometry, DFT PBEsol
# **DOS(E_F)**: 0.44 states/eV/cell
# **ΔE_f (raw)**: -8.2 eV per formula unit
# **Magnetization**: 2.01 μB per cell
data_TlNiF3
_symmetry_space_group_name_H-M 'P 1'
_symmetry_Int_Tables_number 1
_cell_length_a 4.0589
_cell_length_b 4.0589
_cell_length_c 4.0589
_cell_angle_alpha 90.00
_cell_angle_beta 90.00
_cell_angle_gamma 90.00
loop_
_symmetry_equiv_pos_as_xyz
'x,y,z'
loop_
_atom_site_label
_atom_site_type_symbol
_atom_site_fract_x
_atom_site_fract_y
_atom_site_fract_z
Tl1 Tl 0.0000 0.0000 0.0000
Ni1 Ni 0.5000 0.5000 0.5000
F1 F 0.0000 0.5000 0.5000
F2 F 0.5000 0.0000 0.5000
F3 F 0.5000 0.5000 0.0000

---

Entry 12:
# BaLiAl2, optimized geometry, DFT PBEsol
# **DOS(E_F)**: 2.97 states/eV/cell
# **Magnetization**: 0.00 μB per cell
# **Energy relative to the lowest polymorph listed for this composition**: 0.0 meV/atom
# **DFT formation energy**: -0.16 eV per atom
data_BaLiAl2
_symmetry_space_group_name_H-M 'P 1'
_symmetry_Int_Tables_number 1
_cell_length_a 6.4650
_cell_length_b 6.4650
_cell_length_c 6.4650
_cell_angle_alpha 41.16
_cell_angle_beta 41.16
_cell_angle_gamma 41.16
loop_
_symmetry_equiv_pos_as_xyz
'x,y,z'
loop_
_atom_site_label
_atom_site_type_symbol
_atom_site_fract_x
_atom_site_fract_y
_atom_site_fract_z
Ba1 Ba 0.0000 0.0000 0.0000
Li1 Li 0.1942 0.1942 0.1942
Al1 Al 0.4900 0.4900 0.4900
Al2 Al 0.7977 0.7977 0.7977

---

Look up the magnetization of the fourth one.
1.00 μB per cell

---

Look up the magnetization of the eighth one.
0.00 μB per cell

---

DOS(E_F) of number 9 (SrGaSb2I)?
4.69 states/eV/cell